{
  "formula": "EuGaCu",
  "functional": "meta-GGA SCAN",
  "state": "PBEsol geometry",
  "lattice": [[-0.6147, 1.4744, 4.1125], [-2.8110, -3.4495, 3.1830], [4.1847, -1.6590, 3.5867]],
  "species": ["Eu", "Eu", "Ga", "Ga", "Cu", "Cu"],
  "fractional_positions": [[0.5578, 0.1953, 0.6892], [0.4422, 0.8047, 0.3108], [0.8293, 0.2419, 0.0994], [0.1707, 0.7581, 0.9006], [0.1603, 0.4046, 0.2748], [0.8397, 0.5954, 0.7252]],
  "magnetic_moment_mub_per_cell": 14.35,
  "density_g_cm3": 8.07,
  "final_energy_ev_per_atom": -28.815
}